Ac2SmPb: relaxed, PBE.

Values from the calculation:
**Calculated formation energy**: -0.20 eV per atom
**Excess energy over the best structure of this formula in the dataset**: 0.054 eV/atom
**Total energy**: -4.3581 eV/atom

abc: 4.500 4.500 7.383
angles: 90.00 90.00 90.00
Atoms (fractional coordinates):
Ac: 0.000 0.000 0.232
Ac: 0.000 0.000 0.768
Sm: 0.500 0.500 0.500
Pb: 0.500 0.500 0.000

=====

Ac2SmPb: relaxed, PBE.

Values from the calculation:
**Calculated formation energy**: -0.25 eV per atom
**Excess energy over the best structure of this formula in the dataset**: 0.000 eV/atom
**Total energy**: -4.4121 eV/atom

abc: 5.254 5.254 5.182
angles: 90.00 90.00 90.00
Atoms (fractional coordinates):
Ac: 0.000 0.500 0.000
Ac: 0.500 0.000 0.000
Sm: 0.000 0.000 0.500
Pb: 0.500 0.500 0.500

=====

Ac3SmPb5: relaxed, PBE.

Values from the calculation:
**Calculated formation energy**: -0.49 eV per atom
**Total energy**: -4.4396 eV/atom

abc: 10.124 10.124 6.942
angles: 90.00 90.00 120.00
Atoms (fractional coordinates):
Ac: 0.000 0.382 0.250
Ac: 0.000 0.618 0.750
Ac: 0.382 0.000 0.250
Ac: 0.382 0.382 0.750
Ac: 0.618 0.000 0.750
Ac: 0.618 0.618 0.250
Sm: 0.000 0.000 0.000
Sm: 0.000 0.000 0.500
Pb: 0.000 0.280 0.750
Pb: 0.000 0.720 0.250
Pb: 0.280 0.000 0.750
Pb: 0.280 0.280 0.250
Pb: 0.333 0.667 0.000
Pb: 0.333 0.667 0.500
Pb: 0.667 0.333 0.000
Pb: 0.667 0.333 0.500
Pb: 0.720 0.000 0.250
Pb: 0.720 0.720 0.750

=====

Ac2SmPb3: relaxed, PBE.

Values from the calculation:
**Calculated formation energy**: -0.47 eV per atom
**Excess energy over the best structure of this formula in the dataset**: 0.000 eV/atom
**Total energy**: -4.4757 eV/atom

abc: 9.587 9.587 7.370
angles: 90.00 90.00 143.21
Atoms (fractional coordinates):
Ac: 0.000 0.000 0.000
Ac: 0.000 0.000 0.500
Ac: 0.335 0.665 0.000
Ac: 0.665 0.335 0.000
Sm: 0.334 0.666 0.500
Sm: 0.666 0.334 0.500
Pb: 0.171 0.829 0.273
Pb: 0.171 0.829 0.727
Pb: 0.499 0.499 0.266
Pb: 0.501 0.501 0.734
Pb: 0.829 0.171 0.273
Pb: 0.829 0.171 0.727

=====

Ac4SmPb2: relaxed, PBE.

Values from the calculation:
**Calculated formation energy**: -0.26 eV per atom
**Total energy**: -4.3371 eV/atom

abc: 7.091 9.211 10.082
angles: 100.70 107.96 112.04
Atoms (fractional coordinates):
Ac: 0.000 0.000 0.000
Ac: 0.005 0.568 0.018
Ac: 0.362 0.758 0.786
Ac: 0.370 0.458 0.303
Ac: 0.387 0.945 0.377
Ac: 0.527 0.433 0.673
Ac: 0.628 0.191 0.100
Ac: 0.976 0.929 0.622
Sm: 0.673 0.742 0.164
Sm: 0.937 0.350 0.581
Pb: 0.022 0.119 0.363
Pb: 0.301 0.366 0.918
Pb: 0.667 0.130 0.755
Pb: 0.969 0.595 0.379

=====

Ac5SmPb4: relaxed, PBE.

Values from the calculation:
**Calculated formation energy**: -0.36 eV per atom
**Total energy**: -4.3664 eV/atom

abc: 9.360 9.360 7.786
angles: 90.90 90.90 35.60
Atoms (fractional coordinates):
Ac: 0.000 0.000 0.000
Ac: 0.334 0.334 0.494
Ac: 0.335 0.335 0.000
Ac: 0.665 0.665 0.000
Ac: 0.666 0.666 0.506
Sm: 0.000 0.000 0.500
Pb: 0.172 0.172 0.748
Pb: 0.493 0.493 0.738
Pb: 0.507 0.507 0.262
Pb: 0.828 0.828 0.252

=====

Listing size of the total moment for the structures above in their given order: 0.000, 0.000, 0.000, 0.070, 0.000, 0.000 μB per atom.